(1)
# La2InRe | the Alexandria database | SCAN | single point on PBEsol structure
# Energy of formation   0.264 eV/atom
data_La2InRe
_chemical_formula_sum 'La6 In3 Re3'
_space_group_name_H-M_alt 'R -3 m'
_space_group_IT_number 166
_space_group_name_Hall '-R 3 2"'
_cell_length_a 3.4309
_cell_length_b 3.4309
_cell_length_c 30.5429
_cell_angle_alpha 90.00
_cell_angle_beta 90.00
_cell_angle_gamma 120.00
loop_
_atom_site_label
_atom_site_fract_x
_atom_site_fract_y
_atom_site_fract_z
La1 0.0000 0.0000 0.2374
In1 0.0000 0.0000 0.0000
Re1 0.0000 0.0000 0.5000


(2)
# NbZn3Te | the Alexandria database | SCAN | single point on PBEsol structure
# Formation energy without anion corrections   1.3255 eV/atom
data_NbZn3Te
_chemical_formula_sum 'Nb1 Zn3 Te1'
_space_group_name_H-M_alt 'P m -3 m'
_space_group_IT_number 221
_space_group_name_Hall '-P 4 2 3'
_cell_length_a 5.0041
_cell_length_b 5.0041
_cell_length_c 5.0041
_cell_angle_alpha 90.00
_cell_angle_beta 90.00
_cell_angle_gamma 90.00
loop_
_atom_site_label
_atom_site_fract_x
_atom_site_fract_y
_atom_site_fract_z
Nb1 0.0000 0.0000 0.0000
Zn1 0.0000 0.5000 0.5000
Te1 0.5000 0.5000 0.5000


(3)
# Li2RhAu | the Alexandria database | SCAN | single point on PBEsol structure
# Energy of formation   -0.353 eV/atom
data_Li2RhAu
_chemical_formula_sum 'Li2 Rh1 Au1'
_space_group_name_H-M_alt 'P m m m'
_space_group_IT_number 47
_space_group_name_Hall '-P 2 2'
_cell_length_a 3.1162
_cell_length_b 4.0777
_cell_length_c 4.3635
_cell_angle_alpha 90.00
_cell_angle_beta 90.00
_cell_angle_gamma 90.00
loop_
_atom_site_label
_atom_site_fract_x
_atom_site_fract_y
_atom_site_fract_z
Li1 0.0000 0.0000 0.0000
Li2 0.5000 0.0000 0.5000
Rh1 0.0000 0.5000 0.5000
Au1 0.5000 0.5000 0.0000


(4)
# Y2ZrSeF | the Alexandria database | SCAN | single point on PBEsol structure
# Formation energy without anion corrections   -0.9260 eV/atom
data_Y2ZrSeF
_chemical_formula_sum 'Y2 Zr1 Se1 F1'
_space_group_name_H-M_alt 'P 4/m m m'
_space_group_IT_number 123
_space_group_name_Hall '-P 4 2'
_cell_length_a 4.7516
_cell_length_b 4.7516
_cell_length_c 4.3684
_cell_angle_alpha 90.00
_cell_angle_beta 90.00
_cell_angle_gamma 90.00
loop_
_atom_site_label
_atom_site_fract_x
_atom_site_fract_y
_atom_site_fract_z
Y1 0.0000 0.5000 0.0000
Zr1 0.0000 0.0000 0.5000
Se1 0.5000 0.5000 0.5000
F1 0.0000 0.0000 0.0000


(5)
# LaMg2W | the Alexandria database | SCAN | single point on PBEsol structure
# Polymorph energy (0 for the lowest one)   0.0000 eV/atom
# Energy of formation   0.646 eV/atom
data_LaMg2W
_chemical_formula_sum 'La2 Mg4 W2'
_space_group_name_H-M_alt 'C 1 2/m 1'
_space_group_IT_number 12
_space_group_name_Hall '-C 2y'
_cell_length_a 5.7608
_cell_length_b 10.5246
_cell_length_c 2.9475
_cell_angle_alpha 90.00
_cell_angle_beta 106.95
_cell_angle_gamma 90.00
loop_
_atom_site_label
_atom_site_fract_x
_atom_site_fract_y
_atom_site_fract_z
La1 0.0000 0.0000 0.0000
Mg1 0.2500 0.2500 0.5000
W1 0.0000 0.5000 0.0000


(6)
# Li2AsRh2 | the Alexandria database | SCAN | single point on PBEsol structure
# Energy of formation   -0.524 eV/atom
data_Li2AsRh2
_chemical_formula_sum 'Li4 As2 Rh4'
_space_group_name_H-M_alt 'P 4/m b m'
_space_group_IT_number 127
_space_group_name_Hall '-P 4 2ab'
_cell_length_a 6.0486
_cell_length_b 6.0486
_cell_length_c 4.1882
_cell_angle_alpha 90.00
_cell_angle_beta 90.00
_cell_angle_gamma 90.00
loop_
_atom_site_label
_atom_site_fract_x
_atom_site_fract_y
_atom_site_fract_z
Li1 0.1599 0.3401 0.0000
As1 0.0000 0.0000 0.5000
Rh1 0.1488 0.6488 0.5000